# HfGa3I | the Alexandria database | PBEsol | relaxed
data_HfGa3I
_chemical_formula_sum 'Hf1 Ga3 I1'
_space_group_name_H-M_alt 'P 1'
_space_group_IT_number 1
_cell_length_a 5.259
_cell_length_b 5.259
_cell_length_c 5.259
_cell_angle_alpha 90.00
_cell_angle_beta 90.00
_cell_angle_gamma 90.00
loop_
_space_group_symop_operation_xyz
'x,y,z'
loop_
_atom_site_label
_atom_site_type_symbol
_atom_site_fract_x
_atom_site_fract_y
_atom_site_fract_z
Hf1 Hf 0.000 0.000 0.000
Ga1 Ga 0.000 0.500 0.500
Ga2 Ga 0.500 0.000 0.500
Ga3 Ga 0.500 0.500 0.000
I1 I 0.500 0.500 0.500
# - SG = Pm-3m
# - E (Ry per atom) = -0.232
# - E_form (uncorrected) (eV/atom) = 1.296

# MgPSe2 | the Alexandria database | PBEsol | relaxed
data_MgPSe2
_chemical_formula_sum 'Mg1 P1 Se2'
_space_group_name_H-M_alt 'P 1'
_space_group_IT_number 1
_cell_length_a 3.309
_cell_length_b 3.309
_cell_length_c 6.609
_cell_angle_alpha 90.00
_cell_angle_beta 90.00
_cell_angle_gamma 90.00
loop_
_space_group_symop_operation_xyz
'x,y,z'
loop_
_atom_site_label
_atom_site_type_symbol
_atom_site_fract_x
_atom_site_fract_y
_atom_site_fract_z
Mg1 Mg 0.000 0.000 0.000
P1 P 0.000 0.000 0.500
Se1 Se 0.500 0.500 0.253
Se2 Se 0.500 0.500 0.747
# - SG = P4/mmm
# - E (Ry per atom) = -0.280
# - E_form (uncorrected) (eV/atom) = -0.011

# Mo2PbBr | the Alexandria database | PBEsol | relaxed
data_Mo2PbBr
_chemical_formula_sum 'Mo2 Pb1 Br1'
_space_group_name_H-M_alt 'P 1'
_space_group_IT_number 1
_cell_length_a 3.163
_cell_length_b 8.358
_cell_length_c 8.358
_cell_angle_alpha 22.74
_cell_angle_beta 90.00
_cell_angle_gamma 90.00
loop_
_space_group_symop_operation_xyz
'x,y,z'
loop_
_atom_site_label
_atom_site_type_symbol
_atom_site_fract_x
_atom_site_fract_y
_atom_site_fract_z
Mo1 Mo 0.000 0.000 0.000
Mo2 Mo 0.500 0.422 0.422
Pb1 Pb 0.500 0.623 0.623
Br1 Br 0.000 0.298 0.298
# - SG = Amm2
# - E (Ry per atom) = -0.524
# - E_form (uncorrected) (eV/atom) = 0.217
# - ΔE to the lowest computed polymorph (eV/atom) = 0.000

# NaAl2SiN | the Alexandria database | PBEsol | relaxed
data_NaAl2SiN
_chemical_formula_sum 'Na1 Al2 Si1 N1'
_space_group_name_H-M_alt 'P 1'
_space_group_IT_number 1
_cell_length_a 3.992
_cell_length_b 3.992
_cell_length_c 4.909
_cell_angle_alpha 90.00
_cell_angle_beta 90.00
_cell_angle_gamma 90.00
loop_
_space_group_symop_operation_xyz
'x,y,z'
loop_
_atom_site_label
_atom_site_type_symbol
_atom_site_fract_x
_atom_site_fract_y
_atom_site_fract_z
Na1 Na 0.000 0.000 0.000
Al1 Al 0.000 0.500 0.500
Al2 Al 0.500 0.000 0.500
Si1 Si 0.500 0.500 0.000
N1 N 0.500 0.500 0.500
# - SG = P4/mmm
# - E (Ry per atom) = -0.328
# - E_form (uncorrected) (eV/atom) = 0.307

# Ni3C4 | the Alexandria database | PBEsol | relaxed
data_Ni3C4
_chemical_formula_sum 'Ni3 C4'
_space_group_name_H-M_alt 'P 1'
_space_group_IT_number 1
_cell_length_a 3.933
_cell_length_b 3.933
_cell_length_c 3.933
_cell_angle_alpha 90.00
_cell_angle_beta 90.00
_cell_angle_gamma 90.00
loop_
_space_group_symop_operation_xyz
'x,y,z'
loop_
_atom_site_label
_atom_site_type_symbol
_atom_site_fract_x
_atom_site_fract_y
_atom_site_fract_z
Ni1 Ni 0.000 0.000 0.500
Ni2 Ni 0.000 0.500 0.000
Ni3 Ni 0.500 0.000 0.000
C1 C 0.000 0.000 0.000
C2 C 0.000 0.500 0.500
C3 C 0.500 0.000 0.500
C4 C 0.500 0.500 0.000
# - SG = Pm-3m
# - energy relative to the elements (eV per atom) = 1.5498
# - E (Ry per atom) = -0.485

# ScAlCO | the Alexandria database | PBEsol | relaxed
data_ScAlCO
_chemical_formula_sum 'Sc2 Al2 C2 O2'
_space_group_name_H-M_alt 'P 1'
_space_group_IT_number 1
_cell_length_a 3.236
_cell_length_b 3.236
_cell_length_c 10.157
_cell_angle_alpha 90.00
_cell_angle_beta 90.00
_cell_angle_gamma 120.00
loop_
_space_group_symop_operation_xyz
'x,y,z'
loop_
_atom_site_label
_atom_site_type_symbol
_atom_site_fract_x
_atom_site_fract_y
_atom_site_fract_z
Sc1 Sc 0.333 0.667 0.000
Sc2 Sc 0.667 0.333 0.500
Al1 Al 0.000 0.000 0.284
Al2 Al 0.000 0.000 0.784
C1 C 0.333 0.667 0.363
C2 C 0.667 0.333 0.863
O1 O 0.000 0.000 0.106
O2 O 0.000 0.000 0.606
# - SG = P6_3mc
# - E (Ry per atom) = -0.599
# - E_form (uncorrected) (eV/atom) = -1.749
# - ΔE to the lowest computed polymorph (eV/atom) = 0.000